<w>
Here is a relaxed Nd8Sm2Y3 crystal from the Alexandria database. Energies are from PBE.

Computed properties:
Volume in Å³/atom: 34.6

abc: 6.3212 22.1524 6.4929
angles: 90.00 98.79 90.00
Last column: nearest neighbours and their distance in Å.
Positions (direct):
Nd1 0.0199 0.0848 0.1038  5 Nd 3.46-3.83, 2 Sm 3.66-3.73, 3 Y 3.72-3.77
Nd2 0.0199 0.4152 0.6038  5 Nd 3.46-3.83, 2 Sm 3.66-3.73, 3 Y 3.72-3.77
Nd3 0.2458 0.1112 0.6589  2 Y 3.30-3.53, 3 Nd 3.46-3.68, 2 Sm 3.52-3.53
Nd4 0.2458 0.3888 0.1589  2 Y 3.30-3.53, 3 Nd 3.46-3.68, 2 Sm 3.52-3.53
Nd5 0.2776 0.6894 0.8138  1 Y 3.22, 3 Nd 3.45-3.60, 1 Sm 3.52
Nd6 0.2776 0.8106 0.3138  1 Y 3.22, 3 Nd 3.45-3.60, 1 Sm 3.52
Nd7 0.4625 0.6559 0.3288  6 Nd 3.45-3.68, 3 Y 3.47-3.80, 1 Sm 3.65
Nd8 0.4625 0.8441 0.8288  6 Nd 3.45-3.68, 3 Y 3.47-3.80, 1 Sm 3.65
Nd9 0.5375 0.1559 0.1712  6 Nd 3.45-3.68, 3 Y 3.47-3.80, 1 Sm 3.65
Nd10 0.5375 0.3441 0.6712  6 Nd 3.45-3.68, 3 Y 3.47-3.80, 1 Sm 3.65
Nd11 0.7224 0.1894 0.6862  1 Y 3.22, 3 Nd 3.45-3.60, 1 Sm 3.52
Nd12 0.7224 0.3106 0.1862  1 Y 3.22, 3 Nd 3.45-3.60, 1 Sm 3.52
Nd13 0.7542 0.6112 0.8411  2 Y 3.30-3.53, 3 Nd 3.46-3.68, 2 Sm 3.52-3.53
Nd14 0.7542 0.8888 0.3411  2 Y 3.30-3.53, 3 Nd 3.46-3.68, 2 Sm 3.52-3.53
Nd15 0.9801 0.5848 0.3962  5 Nd 3.46-3.83, 2 Sm 3.66-3.73, 3 Y 3.72-3.77
Nd16 0.9801 0.9152 0.8962  5 Nd 3.46-3.83, 2 Sm 3.66-3.73, 3 Y 3.72-3.77
Sm1 0.2522 0.5372 0.9641  2 Sm 3.51-3.68, 7 Nd 3.52-3.76, 2 Y 3.68-3.70
Sm2 0.2522 0.9628 0.4641  2 Sm 3.51-3.68, 7 Nd 3.52-3.76, 2 Y 3.68-3.70
Sm3 0.7478 0.0372 0.5359  2 Sm 3.51-3.68, 7 Nd 3.52-3.76, 2 Y 3.68-3.70
Sm4 0.7478 0.4628 0.0359  2 Sm 3.51-3.68, 7 Nd 3.52-3.76, 2 Y 3.68-3.70
Y1 0.1418 0.2342 0.3746  3 Nd 3.22-3.47, 2 Y 3.32
Y2 0.1418 0.2658 0.8746  3 Nd 3.22-3.47, 2 Y 3.32
Y3 0.5000 0.0000 0.0000  8 Nd 3.53-3.76, 4 Sm 3.68-3.70
Y4 0.5000 0.5000 0.5000  8 Nd 3.53-3.76, 4 Sm 3.68-3.70
Y5 0.8582 0.7342 0.1254  3 Nd 3.22-3.47, 2 Y 3.32
Y6 0.8582 0.7658 0.6254  3 Nd 3.22-3.47, 2 Y 3.32

<x>
Here is a relaxed Nd8Sm2Y3 crystal from the Alexandria database. Energies are from PBE.

Computed properties:
Volume in Å³/atom: 35.5

abc: 11.0498 11.0498 5.7541
angles: 90.01 90.01 41.02
Last column: nearest neighbours and their distance in Å.
Positions (direct):
Nd1 0.0996 0.6900 0.0000  1 Y 3.16, 1 Nd 3.17
Nd2 0.1718 0.1718 0.5004  2 Sm 3.40, 4 Nd 3.56
Nd3 0.3100 0.9004 0.0000  1 Y 3.16, 1 Nd 3.17
Nd4 0.3681 0.3681 0.5004  2 Y 3.51, 2 Sm 3.65, 4 Nd 3.71-3.72
Nd5 0.6319 0.6319 0.4996  2 Y 3.51, 2 Sm 3.65, 4 Nd 3.71-3.72
Nd6 0.6900 0.0996 0.0000  1 Y 3.16, 1 Nd 3.17
Nd7 0.8282 0.8282 0.4996  2 Sm 3.40, 4 Nd 3.56
Nd8 0.9004 0.3100 0.0000  1 Y 3.16, 1 Nd 3.17
Sm1 0.2596 0.2596 0.0007  8 Nd 3.40-3.65
Sm2 0.7404 0.7404 0.9993  8 Nd 3.40-3.65
Y1 0.2156 0.7844 0.5000  3 Y 3.34-3.62, 6 Nd 3.51-3.61
Y2 0.5000 0.5000 0.0000  4 Nd 3.16
Y3 0.7844 0.2156 0.5000  3 Y 3.34-3.62, 6 Nd 3.51-3.61

Relative energies with respect to the most stable structure, expressed in meV/atom: <w> 0; <x> 99.

<w>
Here is a relaxed Nd5Sm2Y12 crystal from the Alexandria database. Energies are from PBE.

Computed properties:
Volume in Å³/atom: 33.7

abc: 6.8519 6.8720 15.2292
angles: 87.95 80.43 64.95
Last column: nearest neighbours and their distance in Å.
Positions (direct):
Nd1 0.0000 0.0000 0.0000  2 Y 3.52, 2 Nd 3.53
Nd2 0.2339 0.9993 0.5347  2 Nd 3.54-3.63, 4 Sm 3.57-3.71, 6 Y 3.57-3.77
Nd3 0.4237 0.9456 0.1164  6 Y 3.28-3.63, 2 Nd 3.53-3.67
Nd4 0.5763 0.0544 0.8836  6 Y 3.28-3.63, 2 Nd 3.53-3.67
Nd5 0.7661 0.0007 0.4653  2 Nd 3.54-3.63, 4 Sm 3.57-3.71, 6 Y 3.57-3.77
Sm1 0.2628 0.4919 0.4686  2 Sm 3.52-3.58, 4 Nd 3.57-3.71, 6 Y 3.59-3.74
Sm2 0.7372 0.5081 0.5314  2 Sm 3.52-3.58, 4 Nd 3.57-3.71, 6 Y 3.59-3.74
Y1 0.0815 0.2410 0.3161  7 Y 3.52-3.71, 3 Nd 3.59-3.77, 2 Sm 3.60-3.72
Y2 0.0843 0.7420 0.2569  7 Y 3.32-3.63, 2 Nd 3.58
Y3 0.1199 0.5174 0.8846  8 Y 3.31-3.67, 2 Nd 3.39-3.52
Y4 0.3845 0.7811 0.7426  7 Y 3.33-3.61, 2 Nd 3.57-3.63, 1 Sm 3.70
Y5 0.3901 0.4314 0.0792  3 Y 2.97-3.32, 1 Nd 3.28
Y6 0.4372 0.2668 0.6743  3 Nd 3.56-3.64, 7 Y 3.57-3.71, 2 Sm 3.59-3.60
Y7 0.5628 0.7332 0.3257  3 Nd 3.56-3.64, 7 Y 3.57-3.71, 2 Sm 3.59-3.60
Y8 0.6099 0.5686 0.9208  3 Y 2.97-3.32, 1 Nd 3.28
Y9 0.6155 0.2189 0.2574  7 Y 3.33-3.61, 2 Nd 3.57-3.63, 1 Sm 3.70
Y10 0.8801 0.4826 0.1154  8 Y 3.31-3.67, 2 Nd 3.39-3.52
Y11 0.9157 0.2580 0.7431  7 Y 3.32-3.63, 2 Nd 3.58
Y12 0.9185 0.7590 0.6839  7 Y 3.52-3.71, 3 Nd 3.59-3.77, 2 Sm 3.60-3.72

<x>
Here is a relaxed Nd5Sm2Y12 crystal from the Alexandria database. Energies are from PBE.

Computed properties:
Volume in Å³/atom: 34.2

abc: 10.0107 10.0107 9.1095
angles: 106.96 106.96 48.70
Last column: nearest neighbours and their distance in Å.
Positions (direct):
Nd1 0.0000 0.0000 0.0000  6 Y 3.40-3.48
Nd2 0.2445 0.2445 0.7221  9 Y 3.39-3.77
Nd3 0.3018 0.3018 0.3069  8 Y 3.58-3.90, 2 Sm 3.76
Nd4 0.6982 0.6982 0.6931  8 Y 3.58-3.90, 2 Sm 3.76
Nd5 0.7555 0.7555 0.2779  9 Y 3.39-3.77
Sm1 0.3256 0.6744 0.5000  1 Sm 2.88, 2 Y 3.11
Sm2 0.6744 0.3256 0.5000  1 Sm 2.88, 2 Y 3.11
Y1 0.0520 0.0520 0.6736  2 Sm 3.11, 3 Y 3.12-3.37, 2 Nd 3.39-3.40
Y2 0.0616 0.6599 0.6366  3 Y 3.32-3.66, 1 Sm 3.33, 3 Nd 3.50-3.62
Y3 0.0837 0.6108 0.0277  4 Y 3.37-3.66, 4 Nd 3.48-3.77
Y4 0.3401 0.9384 0.3634  3 Y 3.32-3.66, 1 Sm 3.33, 3 Nd 3.50-3.62
Y5 0.3892 0.9163 0.9723  4 Y 3.37-3.66, 4 Nd 3.48-3.77
Y6 0.4852 0.4852 0.8208  3 Y 3.13-3.41, 2 Sm 3.34
Y7 0.5148 0.5148 0.1792  3 Y 3.13-3.41, 2 Sm 3.34
Y8 0.6108 0.0837 0.0277  4 Y 3.37-3.66, 4 Nd 3.48-3.77
Y9 0.6599 0.0616 0.6366  3 Y 3.32-3.66, 1 Sm 3.33, 3 Nd 3.50-3.62
Y10 0.9163 0.3892 0.9723  4 Y 3.37-3.66, 4 Nd 3.48-3.77
Y11 0.9384 0.3401 0.3634  3 Y 3.32-3.66, 1 Sm 3.33, 3 Nd 3.50-3.62
Y12 0.9480 0.9480 0.3264  2 Sm 3.11, 3 Y 3.12-3.37, 2 Nd 3.39-3.40

Relative energies with respect to the most stable structure, expressed in meV/atom: <w> 0; <x> 124.